Below is a geometry-optimized Dy2Mg2Hg3 structure, with properties calculated at the PBE level.

Properties
The formation energy comes out at -0.291 eV per atom. The symmetry is Cmmm, No. 65. As for the total energy: -2.190 eV per atom.

Geometry as extended XYZ:
```
7
Lattice="3.5526 0.0000 0.4715 0.0000 3.6265 0.0000 -0.0028 0.0000 13.6414" Properties=species:S:1:pos:R:3 pbc="T T T"
Dy 2.0272 1.8132 11.9658
Dy 1.5226 1.8132 2.1471
Mg 2.4955 1.8132 8.4373
Mg 1.0544 1.8132 5.6756
Hg 3.0480 0.0000 4.2736
Hg 0.0000 0.0000 0.0000
Hg 0.5018 0.0000 9.8393
```